Record 1
# KZn2Ag2 PBE optimized geometry
data_KZn2Ag2
_chemical_formula_sum 'K2 Zn4 Ag4'
_cell_length_a 4.738
_cell_length_b 4.738
_cell_length_c 10.332
_cell_angle_alpha 90.00
_cell_angle_beta 90.00
_cell_angle_gamma 90.00
_symmetry_space_group_name_H-M 'I 4/m m m'
_symmetry_Int_Tables_number 139
_symmetry_space_group_name_Hall '-I 4 2'
loop_
_atom_site_label
_atom_site_type_symbol
_atom_site_fract_x
_atom_site_fract_y
_atom_site_fract_z
_atom_site_occupancy
K1 K 0.000 0.000 0.000 1
Zn1 Zn 0.000 0.000 0.373 1
Ag1 Ag 0.000 0.500 0.250 1
# energy above the most stable polymorph in this dataset	11	meV per atom
# volume	231.9	Å³/cell
# VASP energy	-1.835	eV/atom
# crystal system	tetragonal
# ρ	5.52	Mg/m³
# N(E_F)	5.08	states/eV per cell
# calculated formation energy	0.03	eV per atom

=====

Record 2
# K2ZnAg2 PBE optimized geometry
data_K2ZnAg2
_chemical_formula_sum 'K4 Zn2 Ag4'
_cell_length_a 4.636
_cell_length_b 5.746
_cell_length_c 11.089
_cell_angle_alpha 90.00
_cell_angle_beta 90.00
_cell_angle_gamma 90.00
_symmetry_space_group_name_H-M 'I m m m'
_symmetry_Int_Tables_number 71
_symmetry_space_group_name_Hall '-I 2 2'
loop_
_atom_site_label
_atom_site_type_symbol
_atom_site_fract_x
_atom_site_fract_y
_atom_site_fract_z
_atom_site_occupancy
K1 K 0.000 0.000 0.198 1
Zn1 Zn 0.000 0.500 0.000 1
Ag1 Ag 0.000 0.251 0.500 1
# energy above the most stable polymorph in this dataset	0	meV per atom
# volume	295.4	Å³/cell
# VASP energy	-1.830	eV/atom
# crystal system	orthorhombic
# ρ	4.04	Mg/m³
# N(E_F)	3.69	states/eV per cell
# calculated formation energy	0.00	eV per atom